This record from the Alexandria database describes an optimized crystal structure of RbMgUTe4. The functional is PBE.

Results
ΔE_f (raw) (meV/atom): -724

abc: 7.9116 6.3666 10.7103
angles: 90.00 109.04 90.00
Sites, in units of the cell vectors:
Rb 0.2486 0.2500 0.0455
Rb 0.7514 0.7500 0.9545
Mg 0.2680 0.7500 0.3251
Mg 0.7320 0.2500 0.6749
U 0.2647 0.2500 0.5565
U 0.7353 0.7500 0.4435
Te 0.0270 0.5097 0.6960
Te 0.0270 0.9903 0.6960
Te 0.4464 0.7500 0.5915
Te 0.4645 0.7500 0.1618
Te 0.5355 0.2500 0.8382
Te 0.5536 0.2500 0.4085
Te 0.9730 0.0097 0.3040
Te 0.9730 0.4903 0.3040

This record from the Alexandria database describes an optimized crystal structure of Be3GeAu. The functional is PBE.

Results
Formation energy from the elements (meV/atom): 762
ΔE to the lowest computed polymorph (eV per atom): 0.133

abc: 4.2477 4.2477 4.2477
angles: 90.00 90.00 90.00
Sites, in units of the cell vectors:
Be 0.0000 0.0000 0.5000
Be 0.0000 0.5000 0.0000
Be 0.5000 0.0000 0.0000
Ge 0.0000 0.0000 0.0000
Au 0.5000 0.5000 0.5000

This record from the Alexandria database describes an optimized crystal structure of Ti3TlF9. The functional is PBE.

Results
ΔE_f (raw) (meV/atom): -3028

abc: 7.7814 7.7814 3.9598
angles: 90.00 90.00 120.00
Sites, in units of the cell vectors:
Ti 0.0000 0.5000 0.0000
Ti 0.5000 0.0000 0.0000
Ti 0.5000 0.5000 0.0000
Tl 0.0000 0.0000 0.5000
F 0.0000 0.5000 0.5000
F 0.2108 0.4217 0.0000
F 0.2108 0.7892 0.0000
F 0.4217 0.2108 0.0000
F 0.5000 0.0000 0.5000
F 0.5000 0.5000 0.5000
F 0.5783 0.7892 0.0000
F 0.7892 0.2108 0.0000
F 0.7892 0.5783 0.0000